Computed, not measured: a geometry-optimized LaPm2PrTh structure at the PBE-GGA level of DFT.

a b c (Å): 8.7025 6.5926 6.5113
angles (deg): 90.00 100.67 90.00
With the nearest neighbours (Å) after each atom.
Space group P2/c (No. 13)
Inequivalent atoms, fractional coordinates:
La (0.0000, 0.0000, 0.0000) [2 per cell]  2 La 3.26, 2 Th 3.39, 2 Pm 3.51
Pm (0.3134, 0.3271, 0.1840) [4 per cell]  1 Th 3.19, 1 Pm 3.20, 1 La 3.51
Pr (0.5000, 0.1625, 0.7500) [2 per cell]  8 Pm 3.60-3.90, 2 Pr 3.90
Th (0.0000, 0.4512, 0.7500) [2 per cell]  2 Pm 3.19, 2 Th 3.32, 2 La 3.39

Total DFT energy (no corrections), eV per formula unit: -25.255